Entry 1:
The following is a PBE-GGA calculation of Bi3SbAu3 after structural relaxation, from Alexandria.

* space-group type: Pnma (62)
* formation energy without anion corrections: -0.01 eV/atom

a = 4.252 Å, b = 12.587 Å, c = 14.006 Å
α = 90.00°, β = 90.00°, γ = 90.00°
Element x y z (fractional)
Bi1 0.750 0.932 0.588
Sb1 0.250 0.561 0.688
Bi2 0.250 0.322 0.510
Au1 0.750 0.230 0.370
Bi3 0.250 0.244 0.211
Au2 0.250 0.108 0.618
Au3 0.750 0.392 0.118
Bi4 0.750 0.756 0.789
Au4 0.750 0.955 0.893
Sb2 0.250 0.061 0.812
Bi5 0.250 0.822 0.990
Au5 0.250 0.608 0.882
Sb3 0.750 0.439 0.312
Au6 0.750 0.455 0.607
Au7 0.250 0.045 0.107
Sb4 0.750 0.939 0.188
Bi6 0.750 0.678 0.490
Bi7 0.250 0.568 0.088
Bi8 0.250 0.744 0.289
Au8 0.750 0.730 0.130
Au9 0.250 0.545 0.393
Bi9 0.750 0.256 0.711
Bi10 0.750 0.432 0.912
Au10 0.750 0.892 0.382
Au11 0.250 0.270 0.870
Au12 0.250 0.770 0.630
Bi11 0.750 0.178 0.010
Bi12 0.250 0.068 0.412

***

Entry 2:
The following is a PBE-GGA calculation of ZrCd2Os after structural relaxation, from Alexandria.

* space-group type: Cmmm (65)
* ΔE to the lowest computed polymorph: 42.2 kJ per mole of atoms

a = 2.877 Å, b = 2.877 Å, c = 10.109 Å
α = 90.00°, β = 90.00°, γ = 113.78°
Site moments in Bohr magnetons follow the coordinates.
Element x y z (fractional)
Zr1 0.500 0.500 0.750  -0.01
Cd1 0.000 0.000 0.483  0.00
Cd2 0.000 0.000 0.017  0.00
Os1 0.500 0.500 0.250  0.49

***

Entry 3:
The following is a PBE-GGA calculation of BaPmRuO6 after structural relaxation, from Alexandria.

* space-group type: P312 (149)
* formation energy without anion corrections: -1.89 eV/atom

a = 5.712 Å, b = 5.712 Å, c = 5.588 Å
α = 90.00°, β = 90.00°, γ = 59.99°
Site moments in Bohr magnetons follow the coordinates.
Element x y z (fractional)
O1 0.052 0.602 0.697  0.04
O2 0.347 0.052 0.697  0.04
O3 0.052 0.347 0.303  0.04
Ba1 0.000 0.000 0.000  0.01
Pm1 0.667 0.667 0.500  0.02
Ru1 0.333 0.333 0.500  0.66
O4 0.347 0.602 0.303  0.04
O5 0.602 0.052 0.303  0.04
O6 0.602 0.347 0.697  0.04